Record 1
# CoRe2W (PBE-GGA, relaxed)
# DOS at the Fermi energy (states/eV/f.u.): 4.14
# ΔE_f (meV per atom): 122
# Size of the total moment (μB/cell): 0.00
# Total DFT energy (no corrections) (eV per formula unit): -44.47
data_CoRe2W
_space_group_name_H-M_alt 'P 4 m m'
_space_group_IT_number 99
_cell_length_a 2.7295
_cell_length_b 2.7295
_cell_length_c 7.6237
_cell_angle_alpha 90.00
_cell_angle_beta 90.00
_cell_angle_gamma 90.00
loop_
_space_group_symop_operation_xyz
'x,y,z'
'-y,x,z'
'-x,-y,z'
'y,-x,z'
'-x,y,z'
'y,x,z'
'x,-y,z'
'-y,-x,z'
loop_
_atom_site_label
_atom_site_type_symbol
_atom_site_fract_x
_atom_site_fract_y
_atom_site_fract_z
Co1 Co 0.0000 0.0000 0.0000
Re1 Re 0.0000 0.0000 0.4883
Re2 Re 0.5000 0.5000 0.2338
W1 W 0.5000 0.5000 0.7634

***

Record 2
# CaMgCd2 (PBE-GGA, relaxed)
# DOS at the Fermi energy (states/eV/f.u.): 1.98
# ΔE_f (meV per atom): -154
# Size of the total moment (μB/cell): 0.00
# Total DFT energy (no corrections) (eV per formula unit): -6.04
data_CaMgCd2
_space_group_name_H-M_alt 'P 4 m m'
_space_group_IT_number 99
_cell_length_a 3.8337
_cell_length_b 3.8337
_cell_length_c 7.0063
_cell_angle_alpha 90.00
_cell_angle_beta 90.00
_cell_angle_gamma 90.00
loop_
_space_group_symop_operation_xyz
'x,y,z'
'-y,x,z'
'-x,-y,z'
'y,-x,z'
'-x,y,z'
'y,x,z'
'x,-y,z'
'-y,-x,z'
loop_
_atom_site_label
_atom_site_type_symbol
_atom_site_fract_x
_atom_site_fract_y
_atom_site_fract_z
Ca1 Ca 0.0000 0.0000 0.0000
Mg1 Mg 0.5000 0.5000 0.6967
Cd1 Cd 0.0000 0.0000 0.4979
Cd2 Cd 0.5000 0.5000 0.2609

***

Record 3
# Rb2TlCl2F2 (PBE-GGA, relaxed)
# DOS at the Fermi energy (states/eV/f.u.): 1.92
# Formation energy from raw total energies (kJ/mol of formula units): -1284.8
# Size of the total moment (μB/cell): 0.00
# Total DFT energy (no corrections) (eV per formula unit): -25.05
data_Rb2TlCl2F2
_space_group_name_H-M_alt 'I 4/m m m'
_space_group_IT_number 139
_space_group_name_Hall '-I 4 2'
_cell_length_a 4.7968
_cell_length_b 4.7968
_cell_length_c 16.8537
_cell_angle_alpha 90.00
_cell_angle_beta 90.00
_cell_angle_gamma 90.00
loop_
_atom_site_label
_atom_site_type_symbol
_atom_site_fract_x
_atom_site_fract_y
_atom_site_fract_z
Rb1 Rb 0.0000 0.0000 0.1318
Tl1 Tl 0.0000 0.0000 0.5000
Cl1 Cl 0.0000 0.0000 0.3323
F1 F 0.0000 0.5000 0.0000

***

Record 4
# Pm4Mg2Cd (PBE-GGA, relaxed)
# DOS at the Fermi energy (states/eV/f.u.): 10.96
# ΔE_f (meV per atom): 12
# Size of the total moment (μB/cell): 0.00
# Total DFT energy (no corrections) (eV per formula unit): -23.02
data_Pm4Mg2Cd
_space_group_name_H-M_alt 'I 4/m m m'
_space_group_IT_number 139
_space_group_name_Hall '-I 4 2'
_cell_length_a 7.6388
_cell_length_b 7.6388
_cell_length_c 7.6031
_cell_angle_alpha 90.00
_cell_angle_beta 90.00
_cell_angle_gamma 90.00
loop_
_atom_site_label
_atom_site_type_symbol
_atom_site_fract_x
_atom_site_fract_y
_atom_site_fract_z
Pm1 Pm 0.2500 0.2500 0.2500
Mg1 Mg 0.0000 0.5000 0.0000
Cd1 Cd 0.0000 0.0000 0.0000

***

Record 5
# Zn5GaIr6 (PBE-GGA, relaxed)
# DOS at the Fermi energy (states/eV/f.u.): 10.42
# ΔE_f (meV per atom): -192
# Size of the total moment (μB/cell): 0.00
# Total DFT energy (no corrections) (eV per formula unit): -64.86
data_Zn5GaIr6
_space_group_name_H-M_alt 'I m m m'
_space_group_IT_number 71
_space_group_name_Hall '-I 2 2'
_cell_length_a 4.2916
_cell_length_b 6.0843
_cell_length_c 12.8951
_cell_angle_alpha 90.00
_cell_angle_beta 90.00
_cell_angle_gamma 90.00
loop_
_atom_site_label
_atom_site_type_symbol
_atom_site_fract_x
_atom_site_fract_y
_atom_site_fract_z
Zn1 Zn 0.0000 0.0000 0.0000
Zn2 Zn 0.0000 0.0000 0.3303
Zn3 Zn 0.0000 0.5000 0.3337
Ga1 Ga 0.0000 0.5000 0.0000
Ir1 Ir 0.0000 0.2461 0.5000
Ir2 Ir 0.0000 0.2521 0.1651

***

Record 6
# ZnPd6Pt (PBE-GGA, relaxed)
# DOS at the Fermi energy (states/eV/f.u.): 16.73
# ΔE_f (meV per atom): -157
# Size of the total moment (μB/cell): 0.00
# Total DFT energy (no corrections) (eV per formula unit): -39.73
data_ZnPd6Pt
_space_group_name_H-M_alt 'P 4/m m m'
_space_group_IT_number 123
_space_group_name_Hall '-P 4 2'
_cell_length_a 5.5522
_cell_length_b 5.5522
_cell_length_c 3.9519
_cell_angle_alpha 90.00
_cell_angle_beta 90.00
_cell_angle_gamma 90.00
loop_
_atom_site_label
_atom_site_type_symbol
_atom_site_fract_x
_atom_site_fract_y
_atom_site_fract_z
Zn1 Zn 0.0000 0.0000 0.0000
Pd1 Pd 0.0000 0.5000 0.0000
Pd2 Pd 0.2479 0.2479 0.5000
Pt1 Pt 0.5000 0.5000 0.0000

***

Record 7
# Sr2YMo (PBE-GGA, relaxed)
# DOS at the Fermi energy (states/eV/f.u.): 5.39
# ΔE_f (meV per atom): 859
# Size of the total moment (μB/cell): 3.91
# Total DFT energy (no corrections) (eV per formula unit): -17.22
data_Sr2YMo
_space_group_name_H-M_alt 'I 4/m m m'
_space_group_IT_number 139
_space_group_name_Hall '-I 4 2'
_cell_length_a 4.8381
_cell_length_b 4.8381
_cell_length_c 10.9405
_cell_angle_alpha 90.00
_cell_angle_beta 90.00
_cell_angle_gamma 90.00
loop_
_atom_site_label
_atom_site_type_symbol
_atom_site_fract_x
_atom_site_fract_y
_atom_site_fract_z
Sr1 Sr 0.0000 0.5000 0.2500
Y1 Y 0.0000 0.0000 0.0000
Mo1 Mo 0.0000 0.0000 0.5000

***

Record 8
# RbGaP3 (PBE-GGA, relaxed)
# DOS at the Fermi energy (states/eV/f.u.): 4.04
# ΔE_f (meV per atom): 554
# Size of the total moment (μB/cell): 0.00
# Total DFT energy (no corrections) (eV per formula unit): -17.45
data_RbGaP3
_space_group_name_H-M_alt 'P m -3 m'
_space_group_IT_number 221
_space_group_name_Hall '-P 4 2 3'
_cell_length_a 4.9344
_cell_length_b 4.9344
_cell_length_c 4.9344
_cell_angle_alpha 90.00
_cell_angle_beta 90.00
_cell_angle_gamma 90.00
loop_
_atom_site_label
_atom_site_type_symbol
_atom_site_fract_x
_atom_site_fract_y
_atom_site_fract_z
Rb1 Rb 0.0000 0.0000 0.0000
Ga1 Ga 0.5000 0.5000 0.5000
P1 P 0.0000 0.5000 0.5000